(1)
The following is a PBE-GGA calculation of InCo2Sb2 after structural relaxation, from Alexandria.

Results
**Raw formation energy**: 0.330 eV/atom
**Energy relative to the lowest polymorph listed for this composition**: 235 meV per atom

CIF file:
```
data_InCo2Sb2
_space_group_name_H-M_alt 'I 4/m m m'
_space_group_IT_number 139
_space_group_name_Hall '-I 4 2'
_cell_length_a 4.5301
_cell_length_b 4.5301
_cell_length_c 9.9628
_cell_angle_alpha 90.00
_cell_angle_beta 90.00
_cell_angle_gamma 90.00
loop_
_atom_site_label
_atom_site_fract_x
_atom_site_fract_y
_atom_site_fract_z
In1 0.0000 0.0000 0.0000
Co1 0.0000 0.0000 0.3834
Sb1 0.0000 0.5000 0.2500
```

(2)
The following is a PBE-GGA calculation of InCo2Sb after structural relaxation, from Alexandria.

Results
**Raw formation energy**: 0.187 eV/atom

CIF file:
```
data_InCo2Sb
_space_group_name_H-M_alt 'P m m m'
_space_group_IT_number 47
_space_group_name_Hall '-P 2 2'
_cell_length_a 3.1626
_cell_length_b 3.1785
_cell_length_c 6.3014
_cell_angle_alpha 90.00
_cell_angle_beta 90.00
_cell_angle_gamma 90.00
loop_
_atom_site_label
_atom_site_fract_x
_atom_site_fract_y
_atom_site_fract_z
In1 0.0000 0.0000 0.0000
Co1 0.5000 0.5000 0.2648
Sb1 0.0000 0.0000 0.5000
```

(3)
The following is a PBE-GGA calculation of InCo2Sb after structural relaxation, from Alexandria.

Results
**Raw formation energy**: 0.513 eV/atom

CIF file:
```
data_InCo2Sb
_space_group_name_H-M_alt 'I -4 2 d'
_space_group_IT_number 122
_space_group_name_Hall 'I -4 2bw'
_cell_length_a 6.8880
_cell_length_b 6.8880
_cell_length_c 5.9984
_cell_angle_alpha 90.00
_cell_angle_beta 90.00
_cell_angle_gamma 90.00
loop_
_atom_site_label
_atom_site_fract_x
_atom_site_fract_y
_atom_site_fract_z
In1 0.0000 0.0000 0.0000
Co1 0.2275 0.2500 0.6250
Sb1 0.0000 0.0000 0.5000
```

(4)
The following is a PBE-GGA calculation of InCo2Sb after structural relaxation, from Alexandria.

Results
**Raw formation energy**: 0.290 eV/atom

CIF file:
```
data_InCo2Sb
_space_group_name_H-M_alt 'R -3 m'
_space_group_IT_number 166
_space_group_name_Hall '-R 3 2"'
_cell_length_a 3.1590
_cell_length_b 3.1590
_cell_length_c 22.9850
_cell_angle_alpha 90.00
_cell_angle_beta 90.00
_cell_angle_gamma 120.00
loop_
_atom_site_label
_atom_site_fract_x
_atom_site_fract_y
_atom_site_fract_z
In1 0.0000 0.0000 0.0000
Co1 0.0000 0.0000 0.2458
Sb1 0.0000 0.0000 0.5000
```